# LaIn2Mo

An optimized crystal structure of LaIn2Mo (PBE-GGA, Alexandria via LeMat-Bulk).

Summary:
distance to the lowest polymorph of the same formula = 141 meV per atom
DOS(E_F) = 4.2 states/eV/cell

abc: 4.444 4.444 4.898
angles: 90.00 90.00 90.00
Sites, in units of the cell vectors:
1 La 0.000 0.000 0.000
2 In 0.000 0.500 0.500
3 In 0.500 0.000 0.500
4 Mo 0.500 0.500 0.000